Run i
Compound: SmPaTe2
Source: Alexandria via LeMat-Bulk
Functional: PBE
Structure: optimized geometry

Cell: 8.488 3.999 7.020 Å, 90.00 90.00 90.00°
Sites, in units of the cell vectors:
Sm (0.000, 0.000, 0.000)
Sm (0.500, 0.000, 0.000)
Pa (0.000, 0.500, 0.500)
Pa (0.500, 0.500, 0.500)
Te (0.250, 0.000, 0.337)
Te (0.250, 0.500, 0.827)
Te (0.750, 0.000, 0.663)
Te (0.750, 0.500, 0.173)

Summary:
* symmetry: Pmma (51)

---

Run ii
Compound: SmPaTe2
Source: Alexandria via LeMat-Bulk
Functional: PBE
Structure: optimized geometry

Cell: 10.526 10.526 10.526 Å, 21.92 21.92 21.92°
Sites, in units of the cell vectors:
Sm (0.000, 0.000, 0.000)
Pa (0.500, 0.500, 0.500)
Te (0.100, 0.100, 0.100)
Te (0.900, 0.900, 0.900)

Summary:
* symmetry: R-3m (166)

---

Run iii
Compound: SmPaTe2
Source: Alexandria via LeMat-Bulk
Functional: PBE
Structure: optimized geometry

Cell: 5.346 5.346 5.346 Å, 60.00 60.00 60.00°
Sites, in units of the cell vectors:
Sm (0.000, 0.000, 0.000)
Pa (0.500, 0.500, 0.500)
Te (0.250, 0.250, 0.250)
Te (0.750, 0.750, 0.750)

Summary:
* symmetry: Fm-3m (225)

---

Which of them is the most stable, and which is the least stable? run i and run ii, in that order.

---

Run i
Compound: SmPaTe4
Source: Alexandria via LeMat-Bulk
Functional: PBE
Structure: optimized geometry

Cell: 7.271 7.271 4.539 Å, 90.00 90.00 90.82°
Sites, in units of the cell vectors:
Sm (0.000, 0.000, 0.000)
Pa (0.500, 0.500, 0.500)
Te (0.208, 0.208, 0.500)
Te (0.308, 0.692, 0.000)
Te (0.692, 0.308, 0.000)
Te (0.792, 0.792, 0.500)

Summary:
* symmetry: Cmmm (65)

---

Run ii
Compound: SmPaTe4
Source: Alexandria via LeMat-Bulk
Functional: PBE
Structure: optimized geometry

Cell: 8.399 8.399 7.595 Å, 116.79 116.79 30.62°
Sites, in units of the cell vectors:
Sm (0.000, 0.000, 0.000)
Pa (0.500, 0.500, 0.500)
Te (0.121, 0.121, 0.469)
Te (0.378, 0.378, 0.060)
Te (0.622, 0.622, 0.940)
Te (0.879, 0.879, 0.531)

Summary:
* symmetry: C2/m (12)

---

Which of them is the most stable, and which is the least stable? run ii and run i, in that order.

---

Run i
Compound: Sm2ThPa
Source: Alexandria via LeMat-Bulk
Functional: PBE
Structure: optimized geometry

Cell: 12.445 12.445 12.445 Å, 15.72 15.72 15.72°
Sites, in units of the cell vectors:
Sm (0.088, 0.088, 0.088)
Sm (0.912, 0.912, 0.912)
Th (0.500, 0.500, 0.500)
Pa (0.000, 0.000, 0.000)

Summary:
* symmetry: R-3m (166)

---

Run ii
Compound: Sm2ThPa
Source: Alexandria via LeMat-Bulk
Functional: PBE
Structure: optimized geometry

Cell: 3.422 3.422 10.466 Å, 90.00 90.00 90.00°
Sites, in units of the cell vectors:
Sm (0.000, 0.000, 0.233)
Sm (0.000, 0.000, 0.767)
Th (0.500, 0.500, 0.500)
Pa (0.500, 0.500, 0.000)

Summary:
* symmetry: P4/mmm (123)

---

Which of them is the most stable, and which is the least stable? run ii and run i, in that order.